A relaxed structure of ScNi2H2. Source: the Alexandria database, functional GGA-PBEsol.

## Properties
SG ... I4/mmm (139)
Total DFT energy (no corrections) ... -5.51 eV/atom

a = 3.303 Å, b = 3.303 Å, c = 4.670 Å
α = 110.71°, β = 110.71°, γ = 90.00°
Fractional positions:
Sc 0.000 0.000 0.000
Ni 0.334 0.334 0.668
Ni 0.666 0.666 0.332
H 0.250 0.750 0.500
H 0.750 0.250 0.500